Below is a geometry-optimized Cu2MoIr structure, with properties calculated at the GGA-PBEsol level.

Energy above the lowest structure with this stoichiometry   142 meV per atom
Calculated volume   53.8 Å³ per cell
Formation energy from the elements   234 meV/atom

Cell: 2.634 4.428 4.625 Å, 90.00 94.02 90.00°
Space group P2/m (No. 10)
Symmetry-distinct sites (fractional):
Cu1 0.199 0.000 0.249
Mo1 0.500 0.500 0.000
Ir1 0.000 0.500 0.500